NbCoPdPt2 at its PBEsol-relaxed geometry, computed with SCAN.

POSCAR file:
```
NbCoPdPt2
1.0
4.257 0.000 0.000
0.000 4.772 0.000
0.000 0.000 4.772
Pt Pd Co Nb
2 1 1 1
Direct
0.000 0.000 0.500 Pt
0.000 0.500 0.000 Pt
0.500 0.500 0.500 Pd
0.500 0.000 0.000 Co
0.000 0.000 0.000 Nb
```

Properties
- Magnetization: 0.80 Bohr magnetons per cell
- Energy of formation: 1.25 eV per atom
- DFT total energy: -43.468 eV/atom
- SG: No. 123



MgBe2Zn at its PBEsol-relaxed geometry, computed with SCAN.

POSCAR file:
```
MgBe2Zn
1.0
2.724 0.000 0.000
1.362 2.359 0.000
1.362 0.786 8.177
Be Zn Mg
2 1 1
Direct
0.743 0.743 0.770 Be
0.257 0.257 0.230 Be
0.000 0.000 0.000 Zn
0.500 0.500 0.500 Mg
```

Properties
- Magnetization: 0.00 Bohr magnetons per cell
- Energy of formation: 0.40 eV per atom
- DFT total energy: -6.399 eV/atom
- SG: No. 166



MnZnMo at its PBEsol-relaxed geometry, computed with SCAN.

POSCAR file:
```
MnZnMo
1.0
2.590 0.000 0.000
0.000 3.916 0.000
-1.295 -1.958 3.885
Zn Mn Mo
1 1 1
Direct
0.664 0.664 0.328 Zn
0.004 0.004 0.008 Mn
0.332 0.332 0.664 Mo
```

Properties
- Magnetization: 1.62 Bohr magnetons per cell
- Energy of formation: 0.10 eV per atom
- DFT total energy: -22.115 eV/atom
- SG: No. 44